This record from the Alexandria database describes Rb2NaYI6 at its PBEsol-relaxed geometry. The functional is SCAN.

Calculated values
ρ = 4.0 Mg/m³
Formation energy from raw total energies = -1.56 eV per atom
Electronic total energy = -30.96 eV per atom

a = 12.044 Å, b = 12.044 Å, c = 12.044 Å
α = 90.00°, β = 90.00°, γ = 90.00°
Space group Fm-3m (No. 225)
Asymmetric unit:
Rb1 0.250 0.250 0.250 (multiplicity 8)
Na1 0.000 0.000 0.000 (multiplicity 4)
Y1 0.000 0.000 0.500 (multiplicity 4)
I1 0.000 0.000 0.254 (multiplicity 24)

***

This record from the Alexandria database describes Ba2YZr at its PBEsol-relaxed geometry. The functional is SCAN.

Calculated values
ρ = 5.6 Mg/m³
Formation enthalpy at 0 K = 0.58 eV per atom
Electronic total energy = -33.83 eV per atom

a = 12.212 Å, b = 3.605 Å, c = 6.267 Å
α = 90.00°, β = 100.39°, γ = 90.00°
Space group C2/m (No. 12)
Asymmetric unit:
Ba1 0.240 0.000 0.242 (multiplicity 4)
Y1 0.000 0.000 0.500 (multiplicity 2)
Zr1 0.000 0.500 0.000 (multiplicity 2)